The following is a DFT calculation (PBE-GGA) of a relaxed structure of Be2BrCl.

Size of the total moment ... 0.000 μB/f.u.
Raw formation energy ... -0.151 eV per formula unit

Unit cell a=4.961 b=3.235 c=5.233 alpha=90.00 beta=101.28 gamma=90.00
Space group P2/m (No. 10)
Unique sites:
Be1 0.140 0.000 0.373
Br1 0.000 0.500 0.000
Cl1 0.500 0.500 0.500